No. 1
A relaxed structure of Ac2Cd2CuPd4. Source: Alexandria via LeMat-Bulk, functional PBE-GGA. Values from VASP.

Crystal system: tetragonal
Formation energy from the elements (eV/f.u.): -4.24
DFT total energy (eV per atom): -4.350

Cell and atoms, written as Quantum ESPRESSO input:
```
&SYSTEM
  ibrav = 0, nat = 9, ntyp = 4
/
ATOMIC_SPECIES
Pd 106.42 Pd.upf
Cd 112.41 Cd.upf
Cu 63.55 Cu.upf
Ac 227.00 Ac.upf
CELL_PARAMETERS angstrom
-0.5837 4.9550 -4.0782
-5.4730 -3.2322 1.0603
1.4964 1.6850 6.0371
ATOMIC_POSITIONS crystal
Pd 0.4841 0.7420 0.7420
Pd 0.5159 0.2580 0.2580
Cd 0.0000 0.3149 0.3149
Pd 0.0000 0.7421 0.2579
Cu 0.0000 0.0000 0.0000
Cd 0.0000 0.6851 0.6851
Pd 0.0000 0.2579 0.7421
Ac 0.5000 0.2500 0.7500
Ac 0.5000 0.7500 0.2500
```


No. 2
A relaxed structure of Ce2CdIn9. Source: Alexandria via LeMat-Bulk, functional PBE-GGA. Values from VASP.

Crystal system: tetragonal
Formation energy from the elements (eV/f.u.): -2.78
DFT total energy (eV per atom): -3.351

Cell and atoms, written as Quantum ESPRESSO input:
```
&SYSTEM
  ibrav = 0, nat = 12, ntyp = 3
/
ATOMIC_SPECIES
In 114.82 In.upf
Cd 112.41 Cd.upf
Ce 140.12 Ce.upf
CELL_PARAMETERS angstrom
4.7358 0.0000 0.0000
0.0000 4.7358 0.0000
0.0000 0.0000 13.9199
ATOMIC_POSITIONS crystal
In 0.5000 0.5000 0.6631
In 0.0000 0.5000 0.1593
Cd 0.0000 0.0000 0.0000
In 0.5000 0.0000 0.5000
In 0.5000 0.5000 0.0000
In 0.0000 0.5000 0.8407
Ce 0.0000 0.0000 0.6687
In 0.5000 0.0000 0.8407
In 0.5000 0.0000 0.1593
In 0.5000 0.5000 0.3369
Ce 0.0000 0.0000 0.3313
In 0.0000 0.5000 0.5000
```


No. 3
A relaxed structure of Mg2In5. Source: Alexandria via LeMat-Bulk, functional PBE-GGA. Values from VASP.

Crystal system: tetragonal
Formation energy from the elements (eV/f.u.): -0.04
DFT total energy (eV per atom): -2.418
Energy above the lowest structure with this stoichiometry (eV/atom): 0.018

Cell and atoms, written as Quantum ESPRESSO input:
```
&SYSTEM
  ibrav = 0, nat = 14, ntyp = 2
/
ATOMIC_SPECIES
In 114.82 In.upf
Mg 24.30 Mg.upf
CELL_PARAMETERS angstrom
7.8741 -0.0307 0.0000
-3.8326 6.8785 0.0000
-2.0208 -3.4239 6.7968
ATOMIC_POSITIONS crystal
In 0.8093 0.8093 0.0000
In 0.6858 0.9783 0.2925
Mg 0.7948 0.7948 0.5896
Mg 0.2052 0.7948 0.0000
In 0.6858 0.3934 0.7075
In 0.6066 0.3142 0.2925
In 0.3934 0.6858 0.7075
In 0.3142 0.0217 0.7075
In 0.3142 0.6066 0.2925
In 0.0217 0.3142 0.7075
Mg 0.7948 0.2052 0.0000
In 0.9783 0.6858 0.2925
In 0.1907 0.1907 0.0000
Mg 0.2052 0.2052 0.4104
```